A geometry-optimized SrZrPd3 structure. Source: Alexandria via LeMat-Bulk, functional PBE.

Unit cell a=5.0512 b=5.0512 c=5.0512 alpha=90.00 beta=90.00 gamma=90.00
With the nearest neighbours (Å) after each atom.
Positions (direct):
1 Pd 0.0000 0.5000 0.0000  2 Sr 2.53
2 Pd 0.0000 0.0000 0.5000  2 Sr 2.53
3 Pd 0.5000 0.0000 0.0000  2 Sr 2.53
4 Zr 0.5000 0.5000 0.5000  12 Pd 3.57
5 Sr 0.0000 0.0000 0.0000  6 Pd 2.53

Crystal system   cubic
Excess energy over the best structure of this formula in the dataset   1.046 eV/atom
DFT total energy   -4.2026 eV/atom
SG   Pm-3m (221)
N(E_F)   9.187 states/eV per cell
ρ   6.42 Mg/m³
Formation energy from the elements   0.9591 eV/atom